The following is a PBE with a Hubbard U calculation of crystalline TlInMoF6 at its relaxed geometry, from the Alexandria database.

```
18
Lattice="6.131 0.000 0.000 -3.065 5.309 0.000 0.000 0.000 11.160" Properties=species:S:1:pos:R:3 pbc="T T T"
Tl 0.000 0.000 0.000
Tl 0.000 0.000 5.580
In 3.065 1.770 2.790
In 0.000 3.539 8.370
Mo 0.000 3.539 2.790
Mo 3.065 1.770 8.370
F 1.785 3.433 1.679
F -0.984 2.047 1.679
F 2.265 0.171 7.259
F 4.050 3.262 9.481
F 0.984 2.047 3.901
F -1.785 3.433 3.901
F 3.865 0.171 9.481
F 0.800 5.138 3.901
F 4.850 1.876 7.259
F -0.800 5.138 1.679
F 2.081 3.262 7.259
F 1.281 1.876 9.481
```

## Properties
**E**: -4.83 eV per atom
**DOS at the Fermi energy**: 0.16 states/eV per atom
**Spin magnetization**: 3.94 μB/cell
**Calculated density**: 4.84 g/cm3

---

The following is a PBE with a Hubbard U calculation of crystalline Tl2InMoF6 at its relaxed geometry, from the Alexandria database.

```
20
Lattice="6.335 0.000 0.000 0.000 7.182 0.000 0.000 0.000 9.274" Properties=species:S:1:pos:R:3 pbc="T T T"
Tl 3.168 5.664 2.002
Tl 0.000 1.518 6.638
Tl 3.168 5.664 7.272
Tl 0.000 1.518 2.635
In 0.000 5.143 4.637
In 3.168 2.039 0.000
Mo 3.168 1.356 4.637
Mo 0.000 5.826 0.000
F 3.168 1.272 2.527
F 3.168 1.272 6.747
F 0.000 5.910 2.110
F 0.000 5.910 7.163
F 1.595 7.112 4.637
F 4.741 7.112 4.637
F 1.602 2.744 4.637
F 4.734 2.744 4.637
F 4.769 4.438 0.000
F 1.566 4.438 0.000
F 1.573 0.070 0.000
F 4.762 0.070 0.000
```

## Properties
**E**: -4.68 eV per atom
**DOS at the Fermi energy**: 0.00 states/eV per atom
**Spin magnetization**: 5.96 μB/cell
**Calculated density**: 5.77 g/cm3